Zn5Hg (GGA-PBE, relaxed); energy of formation = 0.08 eV/atom; total DFT energy (no corrections) = -1.03 eV/atom
1.0
-3.7522 -0.3891 1.3746
-3.3877 -3.4570 -4.3623
1.0457 -3.4090 1.8895
Hg Zn
1 5
Cartesian
-3.3034 -3.2752 -4.0809
-2.2506 -3.8358 -1.3656
-2.3142 -1.1401 -0.7762
-4.6577 -5.1764 -2.4522
-4.6580 -2.3440 -1.6511
-3.6750 -3.0553 0.8308



ZnHg4 (GGA-PBE, relaxed); energy of formation = 0.09 eV/atom; total DFT energy (no corrections) = -0.40 eV/atom
1.0
-1.5614 -2.9358 -4.1619
-3.2954 -2.7368 3.1668
-3.8834 3.5027 -1.0139
Zn Hg
1 4
Cartesian
-4.3701 -1.0849 -1.0045
0.0000 0.0000 0.0000
-2.7224 0.2835 -2.5879
-3.5894 0.3830 1.0764
-2.4284 -2.8363 -0.4975